# Li2La2Pd3

Crystalline Li2La2Pd3 at its relaxed geometry (GGA-PBE, Alexandria).

a b c (Å): 4.0822 7.8528 10.4094
angles (deg): 83.07 78.69 74.93
Positions (direct):
Li  0.0354  0.2508  0.6783
Li  0.4123  0.5172  0.6582
Li  0.9646  0.7492  0.3217
Li  0.5877  0.4828  0.3418
La  0.7302  0.8797  0.6599
La  0.3933  0.2636  0.9498
La  0.2698  0.1203  0.3401
La  0.6067  0.7364  0.0502
Pd  0.1752  0.4734  0.1762
Pd  0.8248  0.5266  0.8238
Pd  0.0829  0.9676  0.8667
Pd  0.6202  0.2325  0.5270
Pd  0.9171  0.0324  0.1333
Pd  0.3798  0.7675  0.4730

## Properties
- Crystal system: monoclinic
- Calculated volume: 315.1 Å³/cell
- N(E_F): 0.412 states/eV per atom
- DFT formation energy: -0.536 eV/atom
- Space-group type: C2/m (12)
- E: -4.72 eV/atom
- Magnetization: 0.0 μB/cell

# In4HgPb6

Crystalline In4HgPb6 at its relaxed geometry (GGA-PBE, Alexandria).

a b c (Å): 7.8447 7.8447 8.2105
angles (deg): 118.54 118.54 90.00
Positions (direct):
In  0.6019  0.1311  0.7330
In  0.1311  0.6019  0.7330
In  0.8689  0.8689  0.2670
In  0.3981  0.3981  0.2670
Hg  0.5000  0.5000  0.0000
Pb  0.0000  0.5000  0.0000
Pb  0.2736  0.9773  0.2509
Pb  0.9773  0.2736  0.2509
Pb  0.0227  0.0227  0.7491
Pb  0.5000  0.0000  0.0000
Pb  0.7264  0.7264  0.7491

## Properties
- Crystal system: tetragonal
- Calculated volume: 372.5 Å³/cell
- N(E_F): 0.518 states/eV per atom
- DFT formation energy: 0.124 eV/atom
- Space-group type: I-42m (121)
- E: -2.92 eV/atom
- Magnetization: 0.0 μB/cell

# NaCeSc4S8

Crystalline NaCeSc4S8 at its relaxed geometry (GGA-PBE, Alexandria).

a b c (Å): 7.6878 7.6878 7.9254
angles (deg): 60.99 60.99 60.00
Last column: magnetic moment on the atom in μB.
Positions (direct):
Sc  0.6277  0.6277  0.1168  0.03
Sc  0.4849  0.0053  0.5046  0.02
Sc  0.0053  0.4849  0.5046  0.02
Sc  0.0053  0.0053  0.5046  0.02
S  0.2494  0.2494  0.7166  -0.01
S  0.7847  0.2494  0.7166  -0.01
S  0.7458  0.7458  0.2723  -0.01
S  0.2494  0.7847  0.7166  -0.01
S  0.2357  0.2357  0.2928  0.00
S  0.2360  0.7458  0.2723  -0.01
S  0.7458  0.2360  0.2723  -0.01
S  0.7579  0.7579  0.7264  0.00
Na  0.3695  0.3695  0.8914  0.00
Ce  0.0027  0.0027  0.9919  0.80

## Properties
- Crystal system: trigonal
- Calculated volume: 336.1 Å³/cell
- N(E_F): 0.504 states/eV per atom
- Space-group type: R3m (160)
- E: -6.47 eV/atom
- Magnetization: 0.9 μB/cell

# NaHfSc

Crystalline NaHfSc at its relaxed geometry (GGA-PBE, Alexandria).

a b c (Å): 4.6231 4.6231 10.5217
angles (deg): 90.00 90.00 120.00
Positions (direct):
Sc  0.0000  0.0000  0.7500
Sc  0.0000  0.0000  0.2500
Na  0.3333  0.6667  0.2500
Na  0.6667  0.3333  0.7500
Hf  0.0000  0.0000  0.0000
Hf  0.0000  0.0000  0.5000

## Properties
- Crystal system: hexagonal
- Calculated volume: 194.8 Å³/cell
- N(E_F): 1.280 states/eV per atom
- DFT formation energy: 1.920 eV/atom
- Space-group type: P6_3/mmc (194)
- E: -3.95 eV/atom
- Distance to the lowest polymorph of the same formula: 1759.6 meV per atom
- Magnetization: 0.0 μB/cell

# NaNp2CuO8

Crystalline NaNp2CuO8 at its relaxed geometry (GGA-PBE, Alexandria).

a b c (Å): 4.8026 4.8025 6.9559
angles (deg): 90.00 90.00 89.69
Last column: magnetic moment on the atom in μB.
Positions (direct):
O  0.6767  0.6773  0.5000  0.02
O  0.7773  0.2232  0.7633  0.02
O  0.7773  0.2232  0.2367  0.02
O  0.6935  0.6939  0.0000  0.04
O  0.3065  0.3061  0.0000  0.04
O  0.3233  0.3227  0.5000  0.02
O  0.2227  0.7768  0.7633  0.02
O  0.2227  0.7768  0.2367  0.02
Cu  0.0000  0.0000  0.0000  0.25
Np  0.5000  0.5000  0.7519  -0.27
Np  0.5000  0.5000  0.2481  -0.27
Na  0.0000  0.0000  0.5000  0.00

## Properties
- Crystal system: orthorhombic
- Calculated volume: 160.4 Å³/cell
- N(E_F): 0.471 states/eV per atom
- Space-group type: Cmmm (65)
- E: -8.08 eV/atom
- Magnetization: 0.1 μB/cell

# CeNdYTh

Crystalline CeNdYTh at its relaxed geometry (GGA-PBE, Alexandria).

a b c (Å): 3.5738 3.5740 11.7674
angles (deg): 90.00 98.74 120.00
Positions (direct):
Y  0.4748  0.1352  0.6253
Ce  0.3051  0.5506  0.8715
Nd  0.9666  0.3813  0.3629
Th  0.1314  0.9636  0.1099

## Properties
- Crystal system: trigonal
- Calculated volume: 128.1 Å³/cell
- N(E_F): 2.005 states/eV per atom
- DFT formation energy: 0.043 eV/atom
- Space-group type: R3m (160)
- E: -6.10 eV/atom
- Distance to the lowest polymorph of the same formula: 0.0 meV per atom
- Magnetization: 0.0 μB/cell

# Y5CoTe4

Crystalline Y5CoTe4 at its relaxed geometry (GGA-PBE, Alexandria).

a b c (Å): 6.1149 7.4963 7.4963
angles (deg): 80.42 65.93 65.93
Last column: magnetic moment on the atom in μB.
Positions (direct):
Y  0.7489  0.1618  0.3424  0.13
Y  0.0913  0.6576  0.1618  0.13
Y  0.2531  0.8382  0.6576  0.13
Y  0.5010  0.0000  0.0000  0.09
Y  0.9107  0.3424  0.8382  0.13
Te  0.5900  0.6010  0.2212  0.01
Te  0.4121  0.3990  0.7788  0.01
Te  0.1910  0.2212  0.3990  0.01
Te  0.8112  0.7788  0.6010  0.01
Co  0.0010  0.0000  0.0000  -0.01

## Properties
- Crystal system: tetragonal
- Calculated volume: 286.5 Å³/cell
- N(E_F): 0.732 states/eV per atom
- Space-group type: I4/m (87)
- E: -6.29 eV/atom
- Magnetization: 1.3 μB/cell

# CeZr3Ru4

Crystalline CeZr3Ru4 at its relaxed geometry (GGA-PBE, Alexandria).

a b c (Å): 3.2991 4.6917 9.4716
angles (deg): 90.00 90.00 90.00
Positions (direct):
Ru  0.0000  0.5000  0.7401
Ru  0.0000  0.0000  0.5000
Ru  0.0000  0.0000  0.0000
Ru  0.0000  0.5000  0.2599
Zr  0.5000  0.0000  0.7419
Zr  0.5000  0.0000  0.2581
Zr  0.5000  0.5000  0.5000
Ce  0.5000  0.5000  0.0000

## Properties
- Crystal system: orthorhombic
- Calculated volume: 146.6 Å³/cell
- N(E_F): 0.691 states/eV per atom
- DFT formation energy: -0.521 eV/atom
- Space-group type: Pmmm (47)
- E: -9.11 eV/atom
- Magnetization: 0.0 μB/cell